1.
DFT (PBE) results for a geometry-optimized Ba5Si3 structure.

**Size of the total moment**: 0.79 μB per cell
**Calculated density**: 4.24 Mg/m³
**Volume**: 1206.96 Å³/cell
**Uncorrected energy**: -114.179 eV/cell
**Uncorrected formation energy**: -333 meV/atom

The structure in CIF format:
```
data_Ba5Si3
_chemical_formula_sum 'Ba20 Si12'
_cell_length_a 8.501
_cell_length_b 8.501
_cell_length_c 16.701
_cell_angle_alpha 90.00
_cell_angle_beta 90.00
_cell_angle_gamma 90.00
_space_group_name_H-M_alt 'P 4/n c c'
_space_group_IT_number 130
loop_
_space_group_symop_operation_xyz
'x,y,z'
'-x,-y,-z'
'-y+1/2,x,z'
'y+1/2,-x,-z'
'-x+1/2,-y+1/2,z'
'x+1/2,y+1/2,-z'
'y,-x+1/2,z'
'-y,x+1/2,-z'
'x+1/2,-y,-z+1/2'
'-x+1/2,y,z+1/2'
'-y,-x,-z+1/2'
'y,x,z+1/2'
'-x,y+1/2,-z+1/2'
'x,-y+1/2,z+1/2'
'y+1/2,x+1/2,-z+1/2'
'-y+1/2,-x+1/2,z+1/2'
loop_
_atom_site_label
_atom_site_fract_x
_atom_site_fract_y
_atom_site_fract_z
_atom_site_occupancy
Ba1 0.053 0.582 0.109 1
Ba2 0.250 0.250 0.220 1
Si1 0.148 0.648 0.750 1
Si2 0.250 0.250 0.011 1
```

2.
DFT (PBE) results for a geometry-optimized Ba3CeTl4 structure.

**Size of the total moment**: 1.28 μB per cell
**Calculated density**: 7.68 Mg/m³
**Volume**: 296.26 Å³/cell
**ΔE_f**: -7.727 kcal/mol of atoms
**Uncorrected energy**: -23.848 eV/cell

The structure in CIF format:
```
data_Ba3CeTl4
_chemical_formula_sum 'Ba3 Ce1 Tl4'
_cell_length_a 4.177
_cell_length_b 4.177
_cell_length_c 16.978
_cell_angle_alpha 90.00
_cell_angle_beta 90.00
_cell_angle_gamma 90.00
_space_group_name_H-M_alt 'P 4/m m m'
_space_group_IT_number 123
_space_group_name_Hall '-P 4 2'
loop_
_atom_site_label
_atom_site_fract_x
_atom_site_fract_y
_atom_site_fract_z
_atom_site_occupancy
Ba1 0.000 0.000 0.000 1
Ba2 0.000 0.000 0.261 1
Ce1 0.000 0.000 0.500 1
Tl1 0.500 0.500 0.127 1
Tl2 0.500 0.500 0.398 1
```

3.
DFT (PBE) results for a geometry-optimized Tl3AsRh structure.

**Size of the total moment**: 0.69 μB per cell
**Calculated density**: 8.21 Mg/m³
**Volume**: 159.96 Å³/cell
**ΔE_f**: 21.433 kcal/mol of atoms
**Uncorrected energy**: -14.453 eV/cell

The structure in CIF format:
```
data_Tl3AsRh
_chemical_formula_sum 'Tl3 As1 Rh1'
_cell_length_a 5.428
_cell_length_b 5.428
_cell_length_c 5.428
_cell_angle_alpha 90.00
_cell_angle_beta 90.00
_cell_angle_gamma 90.00
_space_group_name_H-M_alt 'P m -3 m'
_space_group_IT_number 221
_space_group_name_Hall '-P 4 2 3'
loop_
_atom_site_label
_atom_site_fract_x
_atom_site_fract_y
_atom_site_fract_z
_atom_site_occupancy
Tl1 0.000 0.000 0.500 1
As1 0.000 0.000 0.000 1
Rh1 0.500 0.500 0.500 1
```

4.
DFT (PBE) results for a geometry-optimized BeTc2Ge2 structure.

**Size of the total moment**: 0.00 μB per cell
**Calculated density**: 8.02 Mg/m³
**Volume**: 145.02 Å³/cell
**ΔE_f**: 0.136 kcal/mol of atoms
**Uncorrected energy**: -67.327 eV/cell

The structure in CIF format:
```
data_BeTc2Ge2
_chemical_formula_sum 'Be2 Tc4 Ge4'
_cell_length_a 6.590
_cell_length_b 6.590
_cell_length_c 3.340
_cell_angle_alpha 90.00
_cell_angle_beta 90.00
_cell_angle_gamma 90.00
_space_group_name_H-M_alt 'P 4/m b m'
_space_group_IT_number 127
_space_group_name_Hall '-P 4 2ab'
loop_
_atom_site_label
_atom_site_fract_x
_atom_site_fract_y
_atom_site_fract_z
_atom_site_occupancy
Be1 0.000 0.000 0.000 1
Tc1 0.152 0.348 0.000 1
Ge1 0.150 0.650 0.500 1
```

5.
DFT (PBE) results for a geometry-optimized TePS3 structure.

**Size of the total moment**: 0.00 μB per cell
**Calculated density**: 4.45 Mg/m³
**Volume**: 94.97 Å³/cell
**Uncorrected energy**: -18.563 eV/cell
**Uncorrected formation energy**: 474 meV/atom

The structure in CIF format:
```
data_TePS3
_chemical_formula_sum 'Te1 P1 S3'
_cell_length_a 4.562
_cell_length_b 4.562
_cell_length_c 4.562
_cell_angle_alpha 90.00
_cell_angle_beta 90.00
_cell_angle_gamma 90.00
_space_group_name_H-M_alt 'P m -3 m'
_space_group_IT_number 221
_space_group_name_Hall '-P 4 2 3'
loop_
_atom_site_label
_atom_site_fract_x
_atom_site_fract_y
_atom_site_fract_z
_atom_site_occupancy
Te1 0.000 0.000 0.000 1
P1 0.500 0.500 0.500 1
S1 0.000 0.500 0.500 1
```

6.
DFT (PBE) results for a geometry-optimized TcIrAu3 structure.

**Size of the total moment**: 5.15 μB per cell
**Calculated density**: 11.65 Mg/m³
**Volume**: 125.63 Å³/cell
**ΔE_f**: 36.175 kcal/mol of atoms
**Uncorrected energy**: -21.216 eV/cell

The structure in CIF format:
```
data_TcIrAu3
_chemical_formula_sum 'Tc1 Ir1 Au3'
_cell_length_a 5.008
_cell_length_b 5.008
_cell_length_c 5.008
_cell_angle_alpha 90.00
_cell_angle_beta 90.00
_cell_angle_gamma 90.00
_space_group_name_H-M_alt 'P m -3 m'
_space_group_IT_number 221
_space_group_name_Hall '-P 4 2 3'
loop_
_atom_site_label
_atom_site_fract_x
_atom_site_fract_y
_atom_site_fract_z
_atom_site_occupancy
Tc1 0.000 0.000 0.000 1
Ir1 0.500 0.500 0.500 1
Au1 0.000 0.500 0.500 1
```

7.
DFT (PBE) results for a geometry-optimized HgIr2Ru structure.

**Size of the total moment**: 0.00 μB per cell
**Calculated density**: 17.66 Mg/m³
**Volume**: 64.51 Å³/cell
**ΔE_f**: 8.712 kcal/mol of atoms
**Uncorrected energy**: -25.788 eV/cell

The structure in CIF format:
```
data_HgIr2Ru
_chemical_formula_sum 'Hg1 Ir2 Ru1'
_cell_length_a 2.778
_cell_length_b 3.768
_cell_length_c 6.163
_cell_angle_alpha 90.00
_cell_angle_beta 90.00
_cell_angle_gamma 90.00
_space_group_name_H-M_alt 'P m m 2'
_space_group_IT_number 25
loop_
_space_group_symop_operation_xyz
'x,y,z'
'-x,-y,z'
'-x,y,z'
'x,-y,z'
loop_
_atom_site_label
_atom_site_fract_x
_atom_site_fract_y
_atom_site_fract_z
_atom_site_occupancy
Hg1 0.000 0.000 0.000 1
Ir1 0.000 0.000 0.508 1
Ir2 0.500 0.500 0.284 1
Ru1 0.500 0.500 0.714 1
```

8.
DFT (PBE) results for a geometry-optimized LiCd7Ag3 structure.

**Size of the total moment**: 0.00 μB per cell
**Calculated density**: 7.86 Mg/m³
**Volume**: 471.90 Å³/cell
**ΔE_f**: 0.542 kcal/mol of atoms
**Uncorrected energy**: -33.229 eV/cell

The structure in CIF format:
```
data_LiCd7Ag3
_chemical_formula_sum 'Li2 Cd14 Ag6'
_cell_length_a 10.555
_cell_length_b 9.982
_cell_length_c 5.056
_cell_angle_alpha 90.00
_cell_angle_beta 117.64
_cell_angle_gamma 90.00
_space_group_name_H-M_alt 'C 1 2/m 1'
_space_group_IT_number 12
loop_
_space_group_symop_operation_xyz
'x,y,z'
'-x,-y,-z'
'-x,y,-z'
'x,-y,z'
'x+1/2,y+1/2,z'
'-x+1/2,-y+1/2,-z'
'-x+1/2,y+1/2,-z'
'x+1/2,-y+1/2,z'
loop_
_atom_site_label
_atom_site_fract_x
_atom_site_fract_y
_atom_site_fract_z
_atom_site_occupancy
Li1 0.000 0.000 0.000 1
Cd1 0.000 0.000 0.500 1
Cd2 0.169 0.264 0.169 1
Cd3 0.192 0.500 0.679 1
Ag1 0.000 0.277 0.500 1
Ag2 0.000 0.500 0.000 1
```

9.
DFT (PBE) results for a geometry-optimized CsCeTl2 structure.

**Size of the total moment**: 1.16 μB per cell
**Calculated density**: 7.49 Mg/m³
**Volume**: 151.10 Å³/cell
**ΔE_f**: -2.237 kcal/mol of atoms
**Uncorrected energy**: -11.908 eV/cell

The structure in CIF format:
```
data_CsCeTl2
_chemical_formula_sum 'Cs1 Ce1 Tl2'
_cell_length_a 4.035
_cell_length_b 4.035
_cell_length_c 9.281
_cell_angle_alpha 90.00
_cell_angle_beta 90.00
_cell_angle_gamma 90.00
_space_group_name_H-M_alt 'P 4/m m m'
_space_group_IT_number 123
_space_group_name_Hall '-P 4 2'
loop_
_atom_site_label
_atom_site_fract_x
_atom_site_fract_y
_atom_site_fract_z
_atom_site_occupancy
Cs1 0.000 0.000 0.000 1
Ce1 0.000 0.000 0.500 1
Tl1 0.500 0.500 0.308 1
```

10.
DFT (PBE) results for a geometry-optimized Rb2HgOsO4 structure.

**Size of the total moment**: 0.00 μB per cell
**Calculated density**: 3.99 Mg/m³
**Volume**: 2084.46 Å³/cell
**Uncorrected energy**: -329.786 eV/cell
**Uncorrected formation energy**: -990 meV/atom

The structure in CIF format:
```
data_Rb2HgOsO4
_chemical_formula_sum 'Rb16 Hg8 Os8 O32'
_cell_length_a 6.900
_cell_length_b 12.085
_cell_length_c 24.998
_cell_angle_alpha 90.00
_cell_angle_beta 90.00
_cell_angle_gamma 90.00
_space_group_name_H-M_alt 'F d d d'
_space_group_IT_number 70
loop_
_space_group_symop_operation_xyz
'x,y,z'
'-x,-y,-z'
'-x+1/4,-y+1/4,z'
'x+1/4,y+1/4,-z'
'x,-y+1/4,-z+1/4'
'-x,y+1/4,z+1/4'
'-x+1/4,y,-z+1/4'
'x+1/4,-y,z+1/4'
'x,y+1/2,z+1/2'
'-x,-y+1/2,-z+1/2'
'-x+1/4,-y+3/4,z+1/2'
'x+1/4,y+3/4,-z+1/2'
'x,-y+3/4,-z+3/4'
'-x,y+3/4,z+3/4'
'-x+1/4,y+1/2,-z+3/4'
'x+1/4,-y+1/2,z+3/4'
'x+1/2,y,z+1/2'
'-x+1/2,-y,-z+1/2'
'-x+3/4,-y+1/4,z+1/2'
'x+3/4,y+1/4,-z+1/2'
'x+1/2,-y+1/4,-z+3/4'
'-x+1/2,y+1/4,z+3/4'
'-x+3/4,y,-z+3/4'
'x+3/4,-y,z+3/4'
'x+1/2,y+1/2,z'
'-x+1/2,-y+1/2,-z'
'-x+3/4,-y+3/4,z'
'x+3/4,y+3/4,-z'
'x+1/2,-y+3/4,-z+1/4'
'-x+1/2,y+3/4,z+1/4'
'-x+3/4,y+1/2,-z+1/4'
'x+3/4,-y+1/2,z+1/4'
loop_
_atom_site_label
_atom_site_fract_x
_atom_site_fract_y
_atom_site_fract_z
_atom_site_occupancy
Rb1 0.125 0.125 0.328 1
Hg1 0.125 0.125 0.125 1
Os1 0.125 0.125 0.625 1
O1 0.038 0.024 0.578 1
```

11.
DFT (PBE) results for a geometry-optimized LiTbGdZn structure.

**Size of the total moment**: 31.10 μB per cell
**Calculated density**: 6.74 Mg/m³
**Volume**: 382.99 Å³/cell
**ΔE_f**: -2.900 kcal/mol of atoms
**Uncorrected energy**: -89.608 eV/cell

The structure in CIF format:
```
data_LiTbGdZn
_chemical_formula_sum 'Li4 Tb4 Gd4 Zn4'
_cell_length_a 7.262
_cell_length_b 7.262
_cell_length_c 7.262
_cell_angle_alpha 90.00
_cell_angle_beta 90.00
_cell_angle_gamma 90.00
_space_group_name_H-M_alt 'F -4 3 m'
_space_group_IT_number 216
_space_group_name_Hall 'F -4 2 3'
loop_
_atom_site_label
_atom_site_fract_x
_atom_site_fract_y
_atom_site_fract_z
_atom_site_occupancy
Li1 0.000 0.000 0.000 1
Tb1 0.250 0.250 0.250 1
Gd1 0.250 0.250 0.750 1
Zn1 0.000 0.000 0.500 1
```

12.
DFT (PBE) results for a geometry-optimized Zr3Cd4 structure.

**Size of the total moment**: 0.00 μB per cell
**Calculated density**: 7.38 Mg/m³
**Volume**: 162.68 Å³/cell
**ΔE_f**: 1.798 kcal/mol of atoms
**Uncorrected energy**: -28.759 eV/cell

The structure in CIF format:
```
data_Zr3Cd4
_chemical_formula_sum 'Zr3 Cd4'
_cell_length_a 5.7676
_cell_length_b 5.7676
_cell_length_c 5.6470
_cell_angle_alpha 90.00
_cell_angle_beta 90.00
_cell_angle_gamma 120.00
_space_group_name_H-M_alt 'P 6/m m m'
_space_group_IT_number 191
_space_group_name_Hall '-P 6 2'
loop_
_atom_site_label
_atom_site_fract_x
_atom_site_fract_y
_atom_site_fract_z
_atom_site_occupancy
Zr1 0.0000 0.5000 0.0000 1
Cd1 0.0000 0.0000 0.2506 1
Cd2 0.3333 0.6667 0.5000 1
```

volume of number 5 (TePS3)?
94.97 Å³/cell